Record 1
DFT (SCAN) results for a PBEsol-optimized structure of Ta4MnP.

Calculated values
- magnetization (μB per cell) = 3.09
- DFT formation energy (eV per atom) = 0.627
- space group = F-43m, No. 216

a b c (Å): 5.3133 5.3133 5.3133
angles (deg): 60.00 60.00 60.00
Site moments in Bohr magnetons follow the coordinates.
Fractional coordinates of all 6 atoms:
Ta 0.8743 0.3752 0.3752  -0.16
Ta 0.3752 0.3752 0.8743  -0.16
Ta 0.3752 0.3752 0.3752  -0.16
P 0.0000 0.0000 0.0000  0.00
Mn 0.7500 0.7500 0.7500  3.86
Ta 0.3752 0.8743 0.3752  -0.16

***

Record 2
DFT (SCAN) results for a PBEsol-optimized structure of MnTc2P.

Calculated values
- magnetization (μB per cell) = 2.25
- DFT formation energy (eV per atom) = -0.412
- space group = Fm-3m, No. 225

a b c (Å): 4.1223 4.1223 4.1223
angles (deg): 60.00 60.00 60.00
Site moments in Bohr magnetons follow the coordinates.
Fractional coordinates of all 4 atoms:
Mn 0.0000 0.0000 0.0000  2.66
Tc 0.2500 0.2500 0.2500  -0.27
P 0.5000 0.5000 0.5000  0.06
Tc 0.7500 0.7500 0.7500  -0.27

***

Record 3
DFT (SCAN) results for a PBEsol-optimized structure of MnTcP2.

Calculated values
- magnetization (μB per cell) = 1.21
- DFT formation energy (eV per atom) = -0.498
- space group = Imm2, No. 44

a b c (Å): 3.0150 3.0559 5.8206
angles (deg): 105.22 105.01 90.00
Site moments in Bohr magnetons follow the coordinates.
Fractional coordinates of all 4 atoms:
P 0.0520 0.0520 0.1040  -0.03
Mn 0.2065 0.7065 0.4129  1.42
Tc 0.4565 0.4565 0.9131  -0.07
P 0.7850 0.2850 0.5700  -0.06

***

Record 4
DFT (SCAN) results for a PBEsol-optimized structure of MnTc2P.

Calculated values
- magnetization (μB per cell) = 0.00
- DFT formation energy (eV per atom) = -0.190
- space group = P4mm, No. 99

a b c (Å): 2.7872 2.7872 6.2580
angles (deg): 90.00 90.00 90.02
Fractional coordinates of all 4 atoms:
Tc 0.0000 0.0000 0.0255
P 0.5000 0.5000 0.2731
Mn 0.0000 0.0000 0.4631
Tc 0.5000 0.5000 0.7383

***

Record 5
DFT (SCAN) results for a PBEsol-optimized structure of MnTc2P.

Calculated values
- magnetization (μB per cell) = 1.67
- DFT formation energy (eV per atom) = -0.270
- space group = Imm2, No. 44

a b c (Å): 2.8064 4.1476 4.8658
angles (deg): 115.23 106.76 90.00
Site moments in Bohr magnetons follow the coordinates.
Fractional coordinates of all 4 atoms:
P 0.2401 0.7401 0.4802  -0.03
Mn 0.5298 0.5298 0.0595  2.24
Tc 0.7557 0.2557 0.5113  -0.29
Tc 0.9744 0.9744 0.9489  -0.26

***

Record 6
DFT (SCAN) results for a PBEsol-optimized structure of MnTcP2.

Calculated values
- magnetization (μB per cell) = 2.05
- DFT formation energy (eV per atom) = -0.452
- space group = P4mm, No. 99

a b c (Å): 3.0396 3.0396 5.2456
angles (deg): 90.00 90.00 90.00
Site moments in Bohr magnetons follow the coordinates.
Fractional coordinates of all 4 atoms:
Mn 0.5000 0.5000 0.8196  2.32
Tc 0.0000 0.0000 0.4569  -0.06
P 0.5000 0.5000 0.2611  -0.05
P 0.0000 0.0000 0.9624  -0.11

***

Record 7
DFT (SCAN) results for a PBEsol-optimized structure of ZrMnTcP2.

Calculated values
- magnetization (μB per cell) = 0.49
- DFT formation energy (eV per atom) = 0.381
- space group = P4/mmm, No. 123

a b c (Å): 4.2961 4.2961 4.3633
angles (deg): 90.00 90.00 90.00
Site moments in Bohr magnetons follow the coordinates.
Fractional coordinates of all 5 atoms:
Tc 0.0000 0.0000 0.5000  -1.18
Mn 0.0000 0.0000 0.0000  1.44
P 0.5000 0.0000 0.0000  -0.03
Zr 0.5000 0.5000 0.5000  0.23
P 0.0000 0.5000 0.0000  -0.03

***

Record 8
DFT (SCAN) results for a PBEsol-optimized structure of MnTeP.

Calculated values
- magnetization (μB per cell) = 1.97
- formation energy from raw total energies (eV/atom) = 0.23
- space group = F-43m, No. 216

a b c (Å): 4.1375 4.1375 4.1375
angles (deg): 60.00 60.00 60.00
Site moments in Bohr magnetons follow the coordinates.
Fractional coordinates of all 3 atoms:
Te 0.5000 0.5000 0.5000  -0.10
P 0.0000 0.0000 0.0000  -0.11
Mn 0.2500 0.2500 0.2500  2.23

***

Record 9
DFT (SCAN) results for a PBEsol-optimized structure of MnTeP.

Calculated values
- magnetization (μB per cell) = 4.04
- formation energy from raw total energies (eV/atom) = 0.36
- space group = F-43m, No. 216

a b c (Å): 4.4398 4.4398 4.4398
angles (deg): 60.00 60.00 60.00
Site moments in Bohr magnetons follow the coordinates.
Fractional coordinates of all 3 atoms:
P 0.2500 0.2500 0.2500  -0.08
Mn 0.5000 0.5000 0.5000  4.11
Te 0.0000 0.0000 0.0000  -0.05

***

Record 10
DFT (SCAN) results for a PBEsol-optimized structure of MnTeP3.

Calculated values
- magnetization (μB per cell) = 4.23
- formation energy from raw total energies (eV/atom) = 1.31
- space group = Pm-3m, No. 221

a b c (Å): 4.9758 4.9758 4.9758
angles (deg): 90.00 90.00 90.00
Site moments in Bohr magnetons follow the coordinates.
Fractional coordinates of all 5 atoms:
Mn 0.5000 0.5000 0.5000  4.66
Te 0.0000 0.0000 0.0000  0.00
P 0.0000 0.5000 0.0000  -0.13
P 0.5000 0.0000 0.0000  -0.13
P 0.0000 0.0000 0.5000  -0.13

***

Record 11
DFT (SCAN) results for a PBEsol-optimized structure of Th2Mn12P7.

Calculated values
- magnetization (μB per cell) = 13.22
- DFT formation energy (eV per atom) = -0.741
- space group = P-6, No. 174

a b c (Å): 3.6677 9.1295 9.1295
angles (deg): 120.00 90.00 90.00
Site moments in Bohr magnetons follow the coordinates.
Fractional coordinates of all 21 atoms:
P 0.5000 0.4475 0.0642  -0.04
P 0.5000 0.9358 0.3834  -0.04
Mn 0.5000 0.8984 0.6195  2.10
Mn 0.0000 0.9578 0.2401  1.46
Mn 0.0000 0.2823 0.0422  1.46
P 0.5000 0.6166 0.5525  -0.04
Mn 0.0000 0.7599 0.7177  1.46
Mn 0.5000 0.2201 0.4474  3.01
Th 0.5000 0.0000 0.0000  -0.22
Th 0.0000 0.6667 0.3333  -0.18
Mn 0.0000 0.4572 0.5166  -1.82
Mn 0.0000 0.4834 0.9405  -1.82
Mn 0.5000 0.5526 0.7727  3.01
Mn 0.5000 0.7212 0.1016  2.10
Mn 0.5000 0.2273 0.7799  3.01
Mn 0.5000 0.3805 0.2788  2.10
P 0.0000 0.7348 0.9582  -0.07
P 0.0000 0.3333 0.6667  0.01
Mn 0.0000 0.0595 0.5428  -1.82
P 0.0000 0.2234 0.2652  -0.07
P 0.0000 0.0418 0.7766  -0.07

***

Record 12
DFT (SCAN) results for a PBEsol-optimized structure of Mn2TlP.

Calculated values
- magnetization (μB per cell) = 5.97
- DFT formation energy (eV per atom) = -0.014
- space group = P4mm, No. 99

a b c (Å): 3.0767 3.0767 6.5191
angles (deg): 90.00 90.00 90.00
Site moments in Bohr magnetons follow the coordinates.
Fractional coordinates of all 4 atoms:
Tl 0.5000 0.5000 0.7633  -0.09
Mn 0.0000 0.0000 0.0475  3.54
P 0.0000 0.0000 0.4047  -0.17
Mn 0.5000 0.5000 0.2845  2.80

***

Record 13
DFT (SCAN) results for a PBEsol-optimized structure of MnTlP2.

Calculated values
- magnetization (μB per cell) = 3.89
- DFT formation energy (eV per atom) = 0.508
- space group = I4/mmm, No. 139

a b c (Å): 4.3300 4.8047 4.3300
angles (deg): 63.22 90.00 116.78
Site moments in Bohr magnetons follow the coordinates.
Fractional coordinates of all 4 atoms:
Mn 0.0000 0.0000 0.0000  4.10
Tl 0.5000 0.0000 0.5000  -0.01
P 0.7500 0.5000 0.7500  -0.10
P 0.2500 0.5000 0.2500  -0.10

***

Record 14
DFT (SCAN) results for a PBEsol-optimized structure of MnTlP2.

Calculated values
- magnetization (μB per cell) = 4.13
- DFT formation energy (eV per atom) = 0.485
- space group = P4/mmm, No. 123

a b c (Å): 3.4923 4.4591 4.4591
angles (deg): 90.00 90.00 90.00
Site moments in Bohr magnetons follow the coordinates.
Fractional coordinates of all 4 atoms:
Mn 0.5000 0.0000 0.0000  4.18
Tl 0.5000 0.5000 0.5000  0.01
P 0.0000 0.0000 0.5000  -0.06
P 0.0000 0.5000 0.0000  -0.06